# 1
Below is a relaxed structure of GdTmGaCo, with properties calculated at the GGA-PBE level.

Cell lengths 4.899, 4.899, 4.899 Å; angles 60.00, 60.00, 60.00 degrees
Atoms (fractional coordinates):
Gd 0.000 0.000 0.000
Tm 0.500 0.500 0.500
Ga 0.750 0.750 0.750
Co 0.250 0.250 0.250

## Properties
space group	No. 216

=====

# 2
Below is a relaxed structure of CaLu2Tc, with properties calculated at the GGA-PBE level.

Cell lengths 3.451, 3.451, 9.025 Å; angles 90.00, 90.00, 90.00 degrees
Atoms (fractional coordinates):
Ca 0.000 0.000 0.000
Lu 0.500 0.500 0.326
Lu 0.500 0.500 0.674
Tc 0.000 0.000 0.500

## Properties
space group	No. 123

=====

The energy of formation from the pure elements results, record by record, are as follows: -0.318, -0.051 eV per atom.